5
Lattice="5.395 0.000 0.000 0.000 5.395 0.000 0.000 0.000 5.395" Properties=species:S:1:pos:R:3 comment="Ag3BiPb, relaxed, DFT PBE" e_form_ev_per_atom=0.5574 magmom_total_mub_per_atom=0.000 pbc="T T T"
Pb 2.697 2.697 2.697
Bi 0.000 0.000 0.000
Ag 0.000 2.697 0.000
Ag 0.000 0.000 2.697
Ag 2.697 0.000 0.000

---

12
Lattice="6.177 0.000 0.000 0.000 7.675 0.000 0.000 0.000 7.675" Properties=species:S:1:pos:R:3 comment="AgBiPb4, relaxed, DFT PBE" e_form_ev_per_atom=0.0603 magmom_total_mub_per_atom=0.000 pbc="T T T"
Ag 1.544 3.837 3.837
Ag 4.632 3.837 3.837
Bi 1.544 0.000 0.000
Bi 4.632 0.000 0.000
Pb 0.000 1.356 4.850
Pb 0.000 6.318 2.824
Pb 0.000 2.824 1.356
Pb 0.000 4.850 6.318
Pb 3.088 6.318 4.850
Pb 3.088 1.356 2.824
Pb 3.088 4.850 1.356
Pb 3.088 2.824 6.318

---

5
Lattice="4.440 0.000 0.000 0.000 4.440 0.000 2.220 2.220 8.247" Properties=species:S:1:pos:R:3 comment="AgBi2Pb2, relaxed, DFT PBE" e_form_ev_per_atom=0.3188 magmom_total_mub_per_atom=0.000 pbc="T T T"
Pb 4.440 2.220 4.124
Pb 2.220 4.440 4.124
Bi 2.220 2.220 1.498
Bi 4.440 4.440 6.749
Ag 0.000 0.000 0.000

---

10
Lattice="-6.224 2.014 3.554 -1.410 -7.155 -1.499 6.849 -0.227 3.236" Properties=species:S:1:pos:R:3 comment="AgBiPb3, relaxed, DFT PBE" e_form_ev_per_atom=0.1025 magmom_total_mub_per_atom=0.000 pbc="T T T"
Ag -2.382 -4.213 2.247
Ag 1.598 -1.155 3.044
Bi 0.713 0.985 5.113
Bi -1.498 -6.353 0.179
Pb -3.403 1.272 3.657
Pb -0.184 -2.766 0.912
Pb -0.600 -2.602 4.380
Pb -3.937 -1.779 2.560
Pb 2.619 -6.640 1.635
Pb 3.152 -3.589 2.732